(1)
## SbAs2Pb6I3 (PBE)

Data for SbAs2Pb6I3 after structural relaxation.

Geometry as extended XYZ:
```
12
Lattice="7.843 0.001 -0.001 -3.919 6.794 -0.001 -1.309 -2.267 7.839" Properties=species:S:1:pos:R:3 pbc="T T T"
I 5.288 -0.035 3.919
Pb 0.052 0.090 6.257
Pb -0.109 4.527 6.253
Pb 2.723 0.001 1.585
I -2.673 4.563 3.919
Pb -1.360 2.359 1.585
I 1.307 2.264 3.919
Sb 0.000 0.000 0.000
As 3.928 2.262 -0.001
Pb 3.975 2.168 6.253
As -0.004 4.532 -0.001
Pb 2.563 4.437 1.581
```

Results
* total magnetic moment: 0.0 Bohr magnetons per cell
* crystal system: monoclinic
* energy: -3.637 eV per atom
* formation energy from raw total energies: -0.277 eV/atom

(2)
## KSc3S (PBE)

Data for KSc3S after structural relaxation.

Geometry as extended XYZ:
```
5
Lattice="-3.096 2.840 -2.708 -0.086 -3.498 -3.570 -3.924 -2.165 2.215" Properties=species:S:1:pos:R:3 pbc="T T T"
Sc -0.043 -1.749 -1.785
Sc -1.548 1.420 -1.354
Sc -1.962 -1.082 1.108
S -3.553 -1.411 -2.032
K 0.000 0.000 0.000
```

Results
* total magnetic moment: 0.0 Bohr magnetons per cell
* crystal system: cubic
* energy: -3.348 eV per atom
* formation energy from raw total energies: 1.495 eV/atom

(3)
## PuOsF (PBE)

Data for PuOsF after structural relaxation.

Geometry as extended XYZ:
```
6
Lattice="3.128 0.000 0.000 0.000 3.128 0.000 0.000 0.000 9.903" Properties=species:S:1:pos:R:3 pbc="T T T"
Os 1.564 0.000 4.250
Pu 1.564 0.000 7.823
Pu 0.000 1.564 2.079
F 0.000 1.564 9.118
F 1.564 0.000 0.785
Os 0.000 1.564 5.652
```

Results
* total magnetic moment: 9.9 Bohr magnetons per cell
* crystal system: tetragonal
* energy: -10.400 eV per atom
* formation energy from raw total energies: -1.256 eV/atom

Calculated DOS(E_F), 0.7; 5.5; 6.5 states/eV/f.u. (same order as the records).